Record 1
CrCdGaO4 PBE+U optimized geometry; crystal system = orthorhombic; N(E_F) = 0.0 states/eV/cell; total energy = -86.362 eV/cell; size of the total moment = 5.999 Bohr magnetons per cell
1.0
-3.0838 3.1079 4.3825
3.0838 -3.1079 4.3825
3.0838 3.1079 -4.3825
Cr Cd Ga O
2 2 2 8
direct
0.0000 0.0000 0.0000 Cr
0.5000 0.0000 0.5000 Cr
0.3759 0.6259 0.7500 Cd
0.6241 0.3741 0.2500 Cd
0.0000 0.0000 0.5000 Ga
0.0000 0.5000 0.0000 Ga
0.1953 0.2324 0.9629 O
0.2304 0.1946 0.4641 O
0.2304 0.7663 0.0359 O
0.2305 0.7676 0.4629 O
0.7695 0.2324 0.5371 O
0.7696 0.2337 0.9641 O
0.7696 0.8054 0.5359 O
0.8047 0.7676 0.0371 O

=====

Record 2
Cr2CdGaO6 PBE+U optimized geometry; crystal system = triclinic; total energy = -64.393 eV/cell; size of the total moment = 5.000 Bohr magnetons per cell
1.0
5.1735 0.0000 0.0000
-2.5307 4.5160 0.0000
-2.4993 -1.4919 4.6477
Cr Cd Ga O
2 1 1 6
direct
0.0000 0.0000 0.0000 Cr
0.0066 0.5078 0.5153 Cr
0.4501 0.7214 0.1745 Cd
0.4157 0.2010 0.6208 Ga
0.1387 0.3530 0.3062 O
0.1700 0.2666 0.7761 O
0.5055 0.8970 0.7775 O
0.5110 0.1561 0.3052 O
0.8759 0.5986 0.7738 O
0.9492 0.7773 0.3064 O

=====

Record 3
CrCdGa2O6 PBE+U optimized geometry; crystal system = monoclinic; total energy = -118.477 eV/cell; size of the total moment = 4.000 Bohr magnetons per cell
1.0
4.6148 -5.4479 0.0000
4.6148 5.4479 0.0000
-2.4760 0.0000 5.3460
Cr Cd Ga O
2 2 4 12
direct
0.1888 0.8112 0.7500 Cr
0.8112 0.1888 0.2500 Cr
0.1072 0.8928 0.2500 Cd
0.8928 0.1072 0.7500 Cd
0.2884 0.4435 0.3287 Ga
0.4435 0.2884 0.8287 Ga
0.5565 0.7116 0.1713 Ga
0.7116 0.5565 0.6713 Ga
0.0481 0.2085 0.1844 O
0.1536 0.6394 0.4460 O
0.2085 0.0481 0.6844 O
0.3199 0.4432 0.0230 O
0.3606 0.8464 0.0540 O
0.4432 0.3199 0.5230 O
0.5568 0.6801 0.4770 O
0.6394 0.1536 0.9460 O
0.6801 0.5568 0.9770 O
0.7915 0.9519 0.3156 O
0.8464 0.3606 0.5540 O
0.9519 0.7915 0.8156 O

=====

Record 4
Cr3Cd3GaO8 PBE+U optimized geometry; crystal system = trigonal; N(E_F) = 3.9 states/eV/cell; total energy = -89.088 eV/cell; size of the total moment = 9.658 Bohr magnetons per cell
1.0
3.0515 1.7618 5.8064
-3.0515 1.7618 5.8064
0.0000 -3.5236 5.8064
Cr Cd Ga O
3 3 1 8
direct
0.0000 0.5000 0.5000 Cr
0.5000 0.0000 0.5000 Cr
0.5000 0.5000 0.0000 Cr
0.0000 0.0000 0.5000 Cd
0.0000 0.5000 0.0000 Cd
0.5000 0.0000 0.0000 Cd
0.0000 0.0000 0.0000 Ga
0.2248 0.2248 0.7331 O
0.2248 0.7331 0.2248 O
0.2669 0.7752 0.7752 O
0.2733 0.2733 0.2733 O
0.7267 0.7267 0.7267 O
0.7331 0.2248 0.2248 O
0.7752 0.2669 0.7752 O
0.7752 0.7752 0.2669 O

=====

Record 5
Cr2Cd2GaO6 PBE+U optimized geometry; crystal system = monoclinic; N(E_F) = 2.0 states/eV/cell; total energy = -65.788 eV/cell; size of the total moment = 6.559 Bohr magnetons per cell
1.0
2.6435 -4.5966 0.0000
2.6435 4.5966 0.0000
-1.6866 0.0000 5.6200
Cr Cd Ga O
2 2 1 6
direct
0.1653 0.8347 0.0000 Cr
0.8347 0.1653 0.0000 Cr
0.3336 0.6664 0.5000 Cd
0.6664 0.3336 0.5000 Cd
0.5000 0.5000 0.0000 Ga
0.1063 0.4471 0.8094 O
0.2378 0.2378 0.1849 O
0.4471 0.1063 0.8094 O
0.5529 0.8937 0.1906 O
0.7622 0.7622 0.8151 O
0.8937 0.5529 0.1906 O

=====

Q: Which of these has the highest size of the total moment?
A: Cr3Cd3GaO8